[1]
The following is a PBE calculation of an optimized crystal structure of RbLi2Np2S6, from Alexandria.

a b c (Å): 7.026 9.718 6.717
angles (deg): 133.70 90.18 68.67
Positions (direct):
S: 0.075 0.425 0.685
S: 0.077 0.999 0.739
S: 0.501 0.424 0.163
S: 0.499 0.576 0.837
S: 0.925 0.575 0.315
S: 0.923 0.001 0.261
Rb: 0.500 0.000 0.500
Li: 0.167 0.668 0.668
Li: 0.833 0.332 0.332
Np: 0.167 0.667 0.167
Np: 0.833 0.333 0.833

Formation energy (no corrections) = -1215 meV/atom
V = 287.1 Å³ per cell

[2]
The following is a PBE calculation of an optimized crystal structure of Rb2Li2NpSe4, from Alexandria.

a b c (Å): 4.310 8.016 8.085
angles (deg): 108.81 105.46 90.00
Positions (direct):
Rb: 0.862 0.436 0.724
Rb: 0.138 0.564 0.276
Li: 0.319 0.012 0.638
Li: 0.681 0.988 0.362
Se: 0.484 0.225 0.968
Se: 0.808 0.836 0.615
Se: 0.192 0.164 0.385
Se: 0.516 0.775 0.032
Np: 0.000 0.000 0.000

Formation energy (no corrections) = -1245 meV/atom
V = 253.7 Å³ per cell

[3]
The following is a PBE calculation of an optimized crystal structure of Rb3LiNp2Te6, from Alexandria.

a b c (Å): 7.882 7.882 8.843
angles (deg): 98.50 98.50 120.01
Positions (direct):
Rb: 0.500 0.500 0.500
Rb: 0.162 0.838 0.500
Rb: 0.838 0.162 0.500
Np: 0.667 0.333 0.000
Np: 0.333 0.667 0.000
Te: 0.278 0.278 0.807
Te: 0.722 0.722 0.193
Te: 0.065 0.409 0.195
Te: 0.935 0.591 0.805
Te: 0.591 0.935 0.805
Te: 0.409 0.065 0.195
Li: 0.000 0.000 0.000

Formation energy (no corrections) = -871 meV/atom
V = 454.5 Å³ per cell

[4]
The following is a PBE calculation of an optimized crystal structure of Rb4LiNp3Te8, from Alexandria.

a b c (Å): 9.165 9.952 9.163
angles (deg): 117.41 120.00 90.00
Positions (direct):
Te: 0.724 0.693 0.959
Te: 0.766 0.307 0.531
Te: 0.733 0.700 0.466
Te: 0.234 0.693 0.959
Te: 0.276 0.307 0.041
Te: 0.234 0.693 0.469
Te: 0.267 0.300 0.534
Te: 0.766 0.307 0.041
Rb: 0.500 0.000 0.000
Rb: 0.000 0.000 0.500
Rb: 0.000 0.000 0.000
Rb: 0.500 0.000 0.500
Li: 0.000 0.500 0.000
Np: 0.500 0.500 0.500
Np: 0.500 0.500 0.000
Np: 0.000 0.500 0.500

Formation energy (no corrections) = -873 meV/atom
V = 613.0 Å³ per cell

[5]
The following is a PBE calculation of an optimized crystal structure of Rb2Li2NpTe4, from Alexandria.

a b c (Å): 4.617 8.547 8.649
angles (deg): 108.76 105.48 90.00
Positions (direct):
Te: 0.194 0.173 0.388
Te: 0.485 0.231 0.971
Te: 0.806 0.827 0.612
Te: 0.515 0.769 0.029
Li: 0.681 0.988 0.362
Li: 0.319 0.012 0.638
Rb: 0.137 0.566 0.275
Rb: 0.863 0.434 0.725
Np: 0.000 0.000 0.000

Formation energy (no corrections) = -958 meV/atom
V = 310.1 Å³ per cell

[6]
The following is a PBE calculation of an optimized crystal structure of RbLiNp2Te4, from Alexandria.

a b c (Å): 4.552 7.923 15.837
angles (deg): 90.00 90.00 106.70
Positions (direct):
Np: 0.368 0.736 0.561
Np: 0.368 0.736 0.939
Np: 0.632 0.264 0.061
Np: 0.632 0.264 0.439
Te: 0.571 0.142 0.250
Te: 0.000 0.000 0.500
Te: 0.736 0.471 0.607
Te: 0.429 0.858 0.750
Te: 0.264 0.529 0.107
Te: 0.264 0.529 0.393
Te: 0.736 0.471 0.893
Te: 0.000 0.000 0.000
Li: 0.166 0.331 0.250
Li: 0.834 0.669 0.750
Rb: 0.888 0.777 0.250
Rb: 0.112 0.223 0.750

Formation energy (no corrections) = -834 meV/atom
V = 547.2 Å³ per cell

[7]
The following is a PBE calculation of an optimized crystal structure of RbLi2Np3Te6, from Alexandria.

a b c (Å): 4.485 10.097 10.757
angles (deg): 110.88 102.03 90.00
Positions (direct):
Li: 0.132 0.437 0.265
Li: 0.868 0.563 0.735
Te: 0.662 0.607 0.323
Te: 0.676 0.051 0.351
Te: 0.994 0.280 0.987
Te: 0.006 0.720 0.013
Te: 0.324 0.949 0.649
Te: 0.338 0.393 0.677
Np: 0.168 0.834 0.336
Np: 0.500 0.500 0.000
Np: 0.832 0.166 0.664
Rb: 0.500 0.000 0.000

Formation energy (no corrections) = -776 meV/atom
V = 443.6 Å³ per cell

[8]
The following is a PBE calculation of an optimized crystal structure of Li2NpRh3, from Alexandria.

a b c (Å): 4.448 7.004 6.107
angles (deg): 90.00 90.00 71.49
Positions (direct):
Rh: 0.166 0.668 0.256
Rh: 0.500 0.000 0.737
Rh: 0.834 0.332 0.256
Rh: 0.834 0.332 0.744
Rh: 0.166 0.668 0.744
Rh: 0.500 0.000 0.263
Li: 0.000 0.000 0.500
Li: 0.668 0.663 0.500
Li: 0.332 0.337 0.500
Li: 0.000 0.000 0.000
Np: 0.344 0.313 0.000
Np: 0.656 0.687 0.000

V = 180.4 Å³ per cell
Energy relative to the elements = -0.32 eV per atom

[9]
The following is a PBE calculation of an optimized crystal structure of LiNp2Rh9, from Alexandria.

a b c (Å): 3.999 3.999 11.579
angles (deg): 90.00 90.00 90.00
Positions (direct):
Rh: 0.000 0.500 0.155
Rh: 0.500 0.500 0.000
Rh: 0.000 0.500 0.845
Rh: 0.500 0.500 0.672
Rh: 0.000 0.500 0.500
Rh: 0.500 0.000 0.500
Rh: 0.500 0.500 0.328
Rh: 0.500 0.000 0.845
Rh: 0.500 0.000 0.155
Li: 0.000 0.000 0.000
Np: 0.000 0.000 0.324
Np: 0.000 0.000 0.676

V = 185.1 Å³ per cell
Energy relative to the elements = -0.29 eV per atom

[10]
The following is a PBE calculation of an optimized crystal structure of LiNpRuRh, from Alexandria.

a b c (Å): 4.487 4.487 4.487
angles (deg): 60.00 60.00 60.00
Positions (direct):
Rh: 0.500 0.500 0.500
Ru: 0.000 0.000 0.000
Li: 0.750 0.750 0.750
Np: 0.250 0.250 0.250

V = 63.9 Å³ per cell
Energy relative to the elements = -0.21 eV per atom

[11]
The following is a PBE calculation of an optimized crystal structure of Li4Np3RhS8, from Alexandria.

a b c (Å): 7.516 7.592 7.517
angles (deg): 119.67 120.00 90.00
Positions (direct):
S: 0.235 0.253 0.994
S: 0.247 0.240 0.493
S: 0.759 0.253 0.518
S: 0.759 0.253 0.994
S: 0.241 0.747 0.482
S: 0.765 0.747 0.006
S: 0.241 0.747 0.006
S: 0.753 0.760 0.507
Li: 0.500 0.000 0.000
Li: 0.500 0.000 0.500
Li: 0.000 0.000 0.500
Li: 0.000 0.000 0.000
Np: 0.000 0.500 0.500
Np: 0.500 0.500 0.000
Np: 0.500 0.500 0.500
Rh: 0.000 0.500 0.000

Formation energy (no corrections) = -1195 meV/atom
V = 304.8 Å³ per cell

[12]
The following is a PBE calculation of an optimized crystal structure of Li3Np3RhS8, from Alexandria.

a b c (Å): 7.554 7.530 7.631
angles (deg): 119.58 90.19 119.85
Positions (direct):
Np: 0.000 0.500 0.500
Np: 0.500 0.500 0.500
Np: 0.500 0.000 0.500
S: 0.752 0.506 0.760
S: 0.765 0.994 0.261
S: 0.773 0.005 0.737
S: 0.234 0.468 0.739
S: 0.248 0.494 0.240
S: 0.766 0.532 0.261
S: 0.227 0.995 0.263
S: 0.235 0.006 0.739
Li: 0.000 0.000 0.000
Li: 0.500 0.500 0.000
Li: 0.000 0.500 0.000
Rh: 0.000 0.000 0.500

Formation energy (no corrections) = -1161 meV/atom
V = 309.0 Å³ per cell